(1)
VASP calculation (PBE) on a relaxed DyAl3Pd2 crystal.

Lattice parameters (Å, degrees): 5.5308 6.3040 6.3040 98.75 90.00 90.00
Fractional coordinates of all 12 atoms:
1 Al 0.7500 0.1109 0.4466
2 Al 0.7500 0.0293 0.0293
3 Al 0.7500 0.4466 0.1109
4 Al 0.2500 0.9707 0.9707
5 Al 0.2500 0.8891 0.5534
6 Al 0.2500 0.5534 0.8891
7 Dy 0.7500 0.6510 0.6510
8 Dy 0.2500 0.3490 0.3490
9 Pd 0.0000 0.2228 0.7772
10 Pd 0.5000 0.7772 0.2228
11 Pd 0.5000 0.2228 0.7772
12 Pd 0.0000 0.7772 0.2228

Total magnetic moment ... 0.00 μB per cell
Calculated formation energy ... -0.7602 eV/atom
Space group ... Cmcm, No. 63
E_tot ... -5.13 eV per atom

***

(2)
VASP calculation (PBE) on a relaxed Ac2SmN crystal.

Lattice parameters (Å, degrees): 3.7644 3.7644 10.5764 79.75 79.75 60.00
Fractional coordinates of all 4 atoms:
1 N 0.5000 0.5000 0.5000
2 Ac 0.1181 0.1181 0.6458
3 Ac 0.8819 0.8819 0.3542
4 Sm 0.0000 0.0000 0.0000

Total magnetic moment ... 0.00 μB per cell
Space group ... R-3m, No. 166
E_tot ... -5.66 eV per atom
Formation energy from raw total energies ... -33.3 kJ per mole of atoms

***

(3)
VASP calculation (PBE) on a relaxed AcLaNd4Ho2 crystal.

Lattice parameters (Å, degrees): 6.1346 5.7602 10.4116 66.88 72.87 57.83
Fractional coordinates of all 8 atoms:
1 Ho 0.7558 0.7446 0.7438
2 Ho 0.2442 0.2554 0.2562
3 Nd 0.6238 0.6336 0.1188
4 Nd 0.1258 0.1098 0.6385
5 Nd 0.8742 0.8902 0.3615
6 Nd 0.3762 0.3664 0.8812
7 Ac 0.5000 0.5000 0.5000
8 La 0.0000 0.0000 0.0000

Total magnetic moment ... 0.00 μB per cell
Calculated formation energy ... 0.1241 eV/atom
Space group ... C2/m, No. 12
E_tot ... -4.53 eV per atom

***

(4)
VASP calculation (PBE) on a relaxed ZnCu5Pt2 crystal.

Lattice parameters (Å, degrees): 3.7318 5.3120 10.6124 90.00 90.00 90.00
Fractional coordinates of all 16 atoms:
1 Cu 0.5000 0.2589 0.3722
2 Cu 0.0000 0.0072 0.2485
3 Cu 0.5000 0.7589 0.1278
4 Cu 0.0000 0.4928 0.7485
5 Cu 0.0000 0.5072 0.2515
6 Cu 0.0000 0.0000 0.0000
7 Cu 0.0000 0.9928 0.7515
8 Cu 0.5000 0.7411 0.6278
9 Cu 0.0000 0.5000 0.5000
10 Cu 0.5000 0.2411 0.8722
11 Zn 0.0000 0.0000 0.5000
12 Zn 0.0000 0.5000 0.0000
13 Pt 0.5000 0.7562 0.3763
14 Pt 0.5000 0.7438 0.8763
15 Pt 0.5000 0.2438 0.6237
16 Pt 0.5000 0.2562 0.1237

Total magnetic moment ... 0.00 μB per cell
Calculated formation energy ... -0.2385 eV/atom
Space group ... Pbam, No. 55
E_tot ... -4.47 eV per atom

***

(5)
VASP calculation (PBE) on a relaxed DyHo3Sb3 crystal.

Lattice parameters (Å, degrees): 9.1610 9.1610 9.1610 90.00 90.00 90.00
Fractional coordinates of all 28 atoms:
1 Ho 0.3223 0.8223 0.6777
2 Ho 0.0729 0.4271 0.5729
3 Ho 0.6777 0.3223 0.8223
4 Ho 0.5729 0.0729 0.4271
5 Ho 0.8223 0.6777 0.3223
6 Ho 0.3220 0.1780 0.8220
7 Ho 0.4271 0.5729 0.0729
8 Ho 0.6780 0.6780 0.6780
9 Ho 0.1780 0.8220 0.3220
10 Ho 0.8220 0.3220 0.1780
11 Ho 0.9271 0.9271 0.9271
12 Ho 0.1777 0.1777 0.1777
13 Sb 0.4998 0.2508 0.1245
14 Sb 0.3755 0.5002 0.7508
15 Sb 0.2508 0.1245 0.4998
16 Sb 0.8755 0.9998 0.2492
17 Sb 0.5002 0.7508 0.3755
18 Sb 0.7508 0.3755 0.5002
19 Sb 0.6245 0.0002 0.7492
20 Sb 0.2492 0.8755 0.9998
21 Sb 0.9998 0.2492 0.8755
22 Sb 0.0002 0.7492 0.6245
23 Sb 0.7492 0.6245 0.0002
24 Sb 0.1245 0.4998 0.2508
25 Dy 0.0721 0.5721 0.9279
26 Dy 0.4279 0.4279 0.4279
27 Dy 0.5721 0.9279 0.0721
28 Dy 0.9279 0.0721 0.5721

Total magnetic moment ... 0.00 μB per cell
Space group ... P2_13, No. 198
E_tot ... -5.36 eV per atom
Formation energy from raw total energies ... -94.3 kJ per mole of atoms

***

(6)
VASP calculation (PBE) on a relaxed Nb3AlIr crystal.

Lattice parameters (Å, degrees): 4.8549 4.8549 4.8549 90.00 90.00 90.00
Fractional coordinates of all 5 atoms:
1 Nb 0.5000 0.0000 0.0000
2 Nb 0.0000 0.5000 0.0000
3 Nb 0.0000 0.0000 0.5000
4 Ir 0.0000 0.0000 0.0000
5 Al 0.5000 0.5000 0.5000

Total magnetic moment ... 0.00 μB per cell
Calculated formation energy ... 0.8592 eV/atom
Space group ... Pm-3m, No. 221
E_tot ... -7.70 eV per atom

***

(7)
VASP calculation (PBE) on a relaxed NaPrNd4Se8 crystal.

Lattice parameters (Å, degrees): 8.7315 8.7315 8.7520 60.08 60.08 60.00
Fractional coordinates of all 14 atoms:
1 Nd 0.0045 0.4866 0.5045
2 Nd 0.4866 0.0045 0.5045
3 Nd 0.6253 0.6253 0.1242
4 Nd 0.0045 0.0045 0.5045
5 Se 0.2416 0.7780 0.7387
6 Se 0.7572 0.7572 0.2597
7 Se 0.7780 0.2416 0.7387
8 Se 0.2260 0.7572 0.2597
9 Se 0.2416 0.2416 0.7387
10 Se 0.2404 0.2404 0.2789
11 Se 0.7572 0.2260 0.2597
12 Se 0.7582 0.7582 0.7253
13 Na 0.3746 0.3746 0.8762
14 Pr 0.0043 0.0043 0.9870

Total magnetic moment ... 0.00 μB per cell
Space group ... R3m, No. 160
E_tot ... -5.54 eV per atom
Formation energy from raw total energies ... -169.3 kJ per mole of atoms

***

(8)
VASP calculation (PBE) on a relaxed Ca3Y2HoSe6 crystal.

Lattice parameters (Å, degrees): 7.1120 7.1120 7.2326 99.46 99.46 119.94
Fractional coordinates of all 12 atoms:
1 Ca 0.8328 0.1672 0.5000
2 Ca 0.1672 0.8328 0.5000
3 Ca 0.5000 0.5000 0.5000
4 Y 0.6664 0.3336 0.0000
5 Y 0.3336 0.6664 0.0000
6 Se 0.7505 0.7505 0.2458
7 Se 0.0817 0.4133 0.2455
8 Se 0.4133 0.0817 0.2455
9 Se 0.9183 0.5867 0.7545
10 Se 0.5867 0.9183 0.7545
11 Se 0.2495 0.2495 0.7542
12 Ho 0.0000 0.0000 0.0000

Total magnetic moment ... 0.00 μB per cell
Space group ... C2/m, No. 12
E_tot ... -5.58 eV per atom
Formation energy from raw total energies ... -181.1 kJ per mole of atoms